1.
Y6AgRh5: relaxed, PBE-GGA.

Computed properties:
The density comes out at 7.657 g/cm3. The calculation puts the formation energy at -0.7541 eV/atom.

Cell: 4.911 8.504 8.504 Å, 120.14 106.76 106.76°
Positions (direct):
Rh (0.000, 0.334, 0.666)
Rh (0.500, 0.835, 0.165)
Rh (0.500, 0.500, 0.500)
Rh (0.500, 0.165, 0.835)
Rh (0.000, 0.666, 0.334)
Ag (0.000, 0.000, 0.000)
Y (0.746, 0.576, 0.916)
Y (0.241, 0.741, 0.741)
Y (0.254, 0.084, 0.424)
Y (0.254, 0.424, 0.084)
Y (0.759, 0.259, 0.259)
Y (0.746, 0.916, 0.576)

2.
Sm8YEr2: relaxed, PBE-GGA.

Computed properties:
The density comes out at 7.286 g/cm3. The calculation puts the formation energy at 0.1714 eV/atom.

Cell: 6.672 10.328 10.328 Å, 38.08 59.57 59.57°
Positions (direct):
Er (0.595, 0.800, 0.800)
Er (0.405, 0.200, 0.200)
Sm (0.274, 0.408, 0.408)
Sm (0.230, 0.350, 0.827)
Sm (0.726, 0.592, 0.592)
Sm (0.230, 0.827, 0.350)
Sm (0.172, 0.755, 0.755)
Sm (0.770, 0.173, 0.650)
Sm (0.770, 0.650, 0.173)
Sm (0.828, 0.245, 0.245)
Y (0.000, 0.000, 0.000)

3.
La11Tl9Co4: relaxed, PBE-GGA.

Computed properties:
The density comes out at 9.023 g/cm3. The calculation puts the formation energy at -0.3358 eV/atom.

Cell: 3.839 13.649 13.649 Å, 112.01 90.00 90.00°
Positions (direct):
La (0.000, 0.421, 0.088)
La (0.000, 0.912, 0.579)
La (0.000, 0.315, 0.315)
La (0.000, 0.839, 0.161)
La (0.000, 0.579, 0.912)
La (0.000, 0.000, 0.000)
La (0.000, 0.685, 0.685)
La (0.000, 0.625, 0.375)
La (0.000, 0.161, 0.839)
La (0.000, 0.088, 0.421)
La (0.000, 0.375, 0.625)
Tl (0.500, 0.080, 0.221)
Tl (0.500, 0.221, 0.080)
Tl (0.500, 0.920, 0.779)
Tl (0.500, 0.160, 0.634)
Tl (0.500, 0.500, 0.500)
Tl (0.500, 0.840, 0.366)
Tl (0.500, 0.634, 0.160)
Tl (0.500, 0.779, 0.920)
Tl (0.500, 0.366, 0.840)
Co (0.500, 0.239, 0.446)
Co (0.500, 0.554, 0.761)
Co (0.500, 0.446, 0.239)
Co (0.500, 0.761, 0.554)

4.
ZrBe2Ru: relaxed, PBE-GGA.

Computed properties:
The density comes out at 6.332 g/cm3. The calculation puts the formation energy at -0.0661 eV/atom.

Cell: 3.733 3.735 3.955 Å, 90.00 90.00 90.00°
Positions (direct):
Be (0.000, 0.000, 0.000)
Be (0.500, 0.500, 0.000)
Zr (0.000, 0.500, 0.500)
Ru (0.500, 0.000, 0.500)

5.
LiMn2Br: relaxed, PBE-GGA.

Computed properties:
The density comes out at 3.860 g/cm3. As for the uncorrected energy: -39.71 eV for the cell shown.

Cell: 7.956 7.956 6.229 Å, 50.31 50.31 90.00°
Site moments in Bohr magnetons follow the coordinates.
Positions (direct):
Br (0.000, 0.000, 0.000)  0.10
Br (0.750, 0.250, 0.500)  0.10
Li (0.250, 0.750, 0.500)  -0.03
Li (0.500, 0.500, 0.000)  -0.03
Mn (0.659, 0.125, 0.250)  3.97
Mn (0.875, 0.909, 0.750)  3.94
Mn (0.091, 0.625, 0.250)  3.95
Mn (0.375, 0.341, 0.750)  3.96

6.
K2SrNi3H12: relaxed, PBE-GGA.

Computed properties:
The density comes out at 3.125 g/cm3. As for the uncorrected energy: -64.74 eV for the cell shown.

Cell: 6.412 6.412 6.412 Å, 60.40 60.40 60.40°
Positions (direct):
H (0.086, 0.722, 0.722)
H (0.278, 0.914, 0.278)
H (0.118, 0.553, 0.118)
H (0.722, 0.722, 0.086)
H (0.722, 0.086, 0.722)
H (0.447, 0.882, 0.882)
H (0.882, 0.882, 0.447)
H (0.914, 0.278, 0.278)
H (0.553, 0.118, 0.118)
H (0.882, 0.447, 0.882)
H (0.118, 0.118, 0.553)
H (0.278, 0.278, 0.914)
K (0.607, 0.607, 0.607)
K (0.393, 0.393, 0.393)
Ni (0.500, 0.000, 0.000)
Ni (0.000, 0.500, 0.000)
Ni (0.000, 0.000, 0.500)
Sr (0.000, 0.000, 0.000)

7.
KSrSi: relaxed, PBE-GGA.

Computed properties:
The density comes out at 2.129 g/cm3. As for the uncorrected energy: -7.92 eV for the cell shown.

Cell: 8.391 8.390 3.903 Å, 76.56 76.54 26.90°
Positions (direct):
Si (0.321, 0.321, 0.679)
Sr (0.720, 0.720, 0.280)
K (0.959, 0.959, 0.041)

8.
InTcPt2: relaxed, PBE-GGA.

Computed properties:
The density comes out at 15.264 g/cm3. The calculation puts the formation energy at -0.1161 eV/atom.

Cell: 4.025 2.854 6.383 Å, 63.43 90.00 90.00°
Positions (direct):
Tc (0.500, 0.250, 0.250)
In (0.500, 0.750, 0.750)
Pt (0.000, 0.517, 0.485)
Pt (0.000, 0.983, 0.015)

9.
Mg2AgRu: relaxed, PBE-GGA.

Computed properties:
The density comes out at 6.165 g/cm3. The calculation puts the formation energy at 0.1476 eV/atom.

Cell: 3.417 3.417 5.943 Å, 90.00 90.00 90.00°
Positions (direct):
Mg (0.500, 0.500, 0.286)
Mg (0.000, 0.000, 0.984)
Ag (0.500, 0.500, 0.747)
Ru (0.000, 0.000, 0.482)

10.
K2BiIr3O12: relaxed, PBE-GGA.

Computed properties:
The density comes out at 6.303 g/cm3. As for the uncorrected energy: -107.92 eV for the cell shown.

Cell: 7.367 7.367 7.367 Å, 59.30 59.30 59.30°
Positions (direct):
Ir (0.500, 0.000, 0.000)
Ir (0.000, 0.000, 0.500)
Ir (0.000, 0.500, 0.000)
K (0.372, 0.372, 0.372)
K (0.628, 0.628, 0.628)
O (0.093, 0.637, 0.093)
O (0.637, 0.093, 0.093)
O (0.363, 0.907, 0.907)
O (0.305, 0.305, 0.918)
O (0.695, 0.082, 0.695)
O (0.918, 0.305, 0.305)
O (0.305, 0.918, 0.305)
O (0.082, 0.695, 0.695)
O (0.695, 0.695, 0.082)
O (0.093, 0.093, 0.637)
O (0.907, 0.363, 0.907)
O (0.907, 0.907, 0.363)
Bi (0.000, 0.000, 0.000)

11.
UCoP2: relaxed, PBE-GGA.

Computed properties:
The density comes out at 9.524 g/cm3. The calculation puts the formation energy at -0.8135 eV/atom.

Cell: 3.755 3.755 9.267 Å, 101.69 101.69 90.00°
Site moments in Bohr magnetons follow the coordinates.
Positions (direct):
P (0.679, 0.679, 0.358)  0.01
P (0.000, 0.500, 0.000)  -0.04
P (0.321, 0.321, 0.642)  0.01
P (0.500, 0.000, 0.000)  -0.04
Co (0.250, 0.750, 0.500)  0.63
Co (0.750, 0.250, 0.500)  0.63
U (0.886, 0.886, 0.772)  1.23
U (0.114, 0.114, 0.228)  1.23

12.
Ca2Ac5Ni2: relaxed, PBE-GGA.

Computed properties:
The density comes out at 6.700 g/cm3. The calculation puts the formation energy at -0.0519 eV/atom.

Cell: 7.963 7.950 11.167 Å, 90.00 69.11 90.00°
Positions (direct):
Ac (0.569, 0.832, 0.202)
Ac (0.271, 0.668, 0.798)
Ac (0.771, 0.832, 0.798)
Ac (0.069, 0.668, 0.202)
Ac (0.729, 0.332, 0.202)
Ac (0.931, 0.332, 0.798)
Ac (0.431, 0.168, 0.798)
Ac (0.229, 0.168, 0.202)
Ac (0.000, 0.000, 0.000)
Ac (0.500, 0.500, 0.000)
Ni (0.874, 0.626, 0.000)
Ni (0.626, 0.126, 0.000)
Ni (0.374, 0.874, 0.000)
Ni (0.126, 0.374, 0.000)
Ca (0.731, 0.500, 0.539)
Ca (0.231, 0.000, 0.539)
Ca (0.769, 0.000, 0.461)
Ca (0.269, 0.500, 0.461)